# PBE with a Hubbard U Hf3NiO6F6, relaxed
data_Hf3NiO6F6
_chemical_formula_sum 'Hf3 Ni1 O6 F6'
_symmetry_space_group_name_H-M 'P 1'
_symmetry_Int_Tables_number 1
_symmetry_space_group_name_Hall 'P 1'
_cell_length_a 6.837
_cell_length_b 7.128
_cell_length_c 7.179
_cell_angle_alpha 91.04
_cell_angle_beta 117.07
_cell_angle_gamma 110.82
loop_
_atom_site_label
_atom_site_fract_x
_atom_site_fract_y
_atom_site_fract_z
_atom_site_occupancy
Hf1 0.000 0.000 0.000 1
Hf2 0.000 0.500 0.000 1
Hf3 0.500 0.000 0.500 1
Ni1 0.000 0.000 0.500 1
O1 0.042 0.176 0.780 1
O2 0.150 0.745 0.269 1
O3 0.322 0.073 0.614 1
O4 0.678 0.927 0.386 1
O5 0.850 0.255 0.731 1
O6 0.958 0.824 0.220 1
F1 0.030 0.762 0.860 1
F2 0.326 0.539 0.093 1
F3 0.356 0.129 0.223 1
F4 0.644 0.871 0.777 1
F5 0.674 0.461 0.907 1
F6 0.970 0.238 0.140 1
# Volume in Å³/cell: 284.3
# ΔE to the lowest computed polymorph in meV/atom: 19.1